# 1
The following is a GGA-PBE calculation of an optimized crystal structure of Ba2ScPaO6, from Alexandria via LeMat-Bulk.

Cell lengths 6.101, 6.101, 6.101 Å; angles 60.00, 60.00, 60.00 degrees
Positions (direct):
Ba 0.250 0.250 0.250
Ba 0.750 0.750 0.750
Sc 0.000 0.000 0.000
Pa 0.500 0.500 0.500
O 0.247 0.247 0.753
O 0.247 0.753 0.247
O 0.247 0.753 0.753
O 0.753 0.247 0.247
O 0.753 0.247 0.753
O 0.753 0.753 0.247

E above lowest polymorph = 0.00 kcal/mol of atoms
ΔE_f (raw) = -3229.4 kJ/mol of formula units
magnetization = 0.00 μB/cell
uncorrected energy = -8.289 eV/atom
calculated volume = 16.1 A^3/atom
theoretical density = 6.7 g cm⁻³

# 2
The following is a GGA-PBE calculation of an optimized crystal structure of Ba2PaSe3O, from Alexandria via LeMat-Bulk.

Cell lengths 9.454, 9.454, 9.454 Å; angles 153.66, 145.58, 43.86 degrees
Positions (direct):
Ba 0.150 0.150 0.000
Ba 0.850 0.850 0.000
Pa 0.500 0.500 0.000
Se 0.000 0.500 0.500
Se 0.334 0.334 0.000
Se 0.666 0.666 0.000
O 0.500 0.000 0.500

ΔE_f (raw) = -1457.3 kJ/mol of formula units
magnetization = 0.91 μB/cell
uncorrected energy = -6.265 eV/atom
calculated volume = 30.2 A^3/atom
theoretical density = 6.0 g cm⁻³

# 3
The following is a GGA-PBE calculation of an optimized crystal structure of Ba2PaSe2O2, from Alexandria via LeMat-Bulk.

Cell lengths 9.214, 9.214, 9.214 Å; angles 151.34, 151.34, 40.98 degrees
Positions (direct):
Ba 0.136 0.136 0.000
Ba 0.864 0.864 0.000
Pa 0.500 0.500 0.000
Se 0.330 0.330 0.000
Se 0.670 0.670 0.000
O 0.000 0.500 0.500
O 0.500 0.000 0.500

ΔE_f (raw) = -1702.9 kJ/mol of formula units
magnetization = 0.99 μB/cell
uncorrected energy = -6.839 eV/atom
calculated volume = 25.7 A^3/atom
theoretical density = 6.4 g cm⁻³

# 4
The following is a GGA-PBE calculation of an optimized crystal structure of BaPaSeO6, from Alexandria via LeMat-Bulk.

Cell lengths 5.609, 5.609, 11.403 Å; angles 90.00, 90.00, 120.00 degrees
Positions (direct):
Ba 0.000 0.000 0.000
Ba 0.000 0.000 0.500
Pa 0.333 0.667 0.250
Pa 0.667 0.333 0.750
Se 0.333 0.667 0.750
Se 0.667 0.333 0.250
O 0.033 0.394 0.653
O 0.033 0.638 0.847
O 0.362 0.394 0.847
O 0.362 0.967 0.653
O 0.394 0.033 0.153
O 0.394 0.362 0.347
O 0.606 0.638 0.653
O 0.606 0.967 0.847
O 0.638 0.033 0.347
O 0.638 0.606 0.153
O 0.967 0.362 0.153
O 0.967 0.606 0.347

ΔE_f (raw) = -1909.1 kJ/mol of formula units
magnetization = 1.69 μB/cell
uncorrected energy = -7.160 eV/atom
calculated volume = 17.3 A^3/atom
theoretical density = 5.8 g cm⁻³

# 5
The following is a GGA-PBE calculation of an optimized crystal structure of Ba4Pa3SeO12, from Alexandria via LeMat-Bulk.

Cell lengths 7.853, 7.853, 7.853 Å; angles 109.47, 109.47, 109.47 degrees
Positions (direct):
Ba 0.000 0.000 0.500
Ba 0.000 0.500 0.000
Ba 0.500 0.000 0.000
Ba 0.500 0.500 0.500
Pa 0.000 0.500 0.500
Pa 0.500 0.000 0.500
Pa 0.500 0.500 0.000
Se 0.000 0.000 0.000
O 0.000 0.277 0.277
O 0.000 0.723 0.723
O 0.250 0.500 0.750
O 0.250 0.750 0.500
O 0.277 0.000 0.277
O 0.277 0.277 0.000
O 0.500 0.250 0.750
O 0.500 0.750 0.250
O 0.723 0.000 0.723
O 0.723 0.723 0.000
O 0.750 0.250 0.500
O 0.750 0.500 0.250

ΔE_f (raw) = -5524.3 kJ/mol of formula units
magnetization = 3.00 μB/cell
uncorrected energy = -7.821 eV/atom
calculated volume = 18.6 A^3/atom
theoretical density = 6.7 g cm⁻³

# 6
The following is a GGA-PBE calculation of an optimized crystal structure of BaPaSeO5, from Alexandria via LeMat-Bulk.

Cell lengths 6.296, 6.296, 7.956 Å; angles 92.54, 92.54, 112.75 degrees
Positions (direct):
Ba 0.144 0.856 0.750
Ba 0.856 0.144 0.250
Pa 0.500 0.500 0.000
Pa 0.500 0.500 0.500
Se 0.193 0.807 0.250
Se 0.807 0.193 0.750
O 0.178 0.262 0.016
O 0.188 0.598 0.386
O 0.262 0.178 0.516
O 0.402 0.812 0.114
O 0.406 0.594 0.750
O 0.594 0.406 0.250
O 0.598 0.188 0.886
O 0.738 0.822 0.484
O 0.812 0.402 0.614
O 0.822 0.738 0.984

ΔE_f (raw) = -1871.8 kJ/mol of formula units
magnetization = 2.00 μB/cell
uncorrected energy = -7.387 eV/atom
calculated volume = 18.1 A^3/atom
theoretical density = 6.0 g cm⁻³

# 7
The following is a GGA-PBE calculation of an optimized crystal structure of BaPaSiO6, from Alexandria via LeMat-Bulk.

Cell lengths 5.499, 5.499, 4.840 Å; angles 90.00, 90.00, 120.00 degrees
Positions (direct):
Ba 0.000 0.000 0.000
Pa 0.667 0.333 0.500
Si 0.333 0.667 0.000
O 0.033 0.448 0.229
O 0.033 0.585 0.771
O 0.415 0.448 0.771
O 0.415 0.967 0.229
O 0.552 0.585 0.229
O 0.552 0.967 0.771

ΔE_f (raw) = -2203.1 kJ/mol of formula units
magnetization = 1.02 μB/cell
uncorrected energy = -7.714 eV/atom
calculated volume = 14.1 A^3/atom
theoretical density = 6.5 g cm⁻³

# 8
The following is a GGA-PBE calculation of an optimized crystal structure of Ba2PaSi3O12, from Alexandria via LeMat-Bulk.

Cell lengths 6.936, 6.936, 6.936 Å; angles 58.34, 58.34, 58.34 degrees
Positions (direct):
Ba 0.109 0.109 0.109
Ba 0.891 0.891 0.891
Pa 0.500 0.500 0.500
Si 0.000 0.500 0.500
Si 0.500 0.000 0.500
Si 0.500 0.500 0.000
O 0.113 0.601 0.601
O 0.204 0.204 0.588
O 0.204 0.588 0.204
O 0.399 0.399 0.887
O 0.399 0.887 0.399
O 0.412 0.796 0.796
O 0.588 0.204 0.204
O 0.601 0.113 0.601
O 0.601 0.601 0.113
O 0.796 0.412 0.796
O 0.796 0.796 0.412
O 0.887 0.399 0.399

ΔE_f (raw) = -4400.7 kJ/mol of formula units
magnetization = 2.77 μB/cell
uncorrected energy = -7.484 eV/atom
calculated volume = 12.6 A^3/atom
theoretical density = 5.7 g cm⁻³

# 9
The following is a GGA-PBE calculation of an optimized crystal structure of Ba2PaSiO6, from Alexandria via LeMat-Bulk.

Cell lengths 5.846, 5.846, 5.846 Å; angles 60.00, 60.00, 60.00 degrees
Positions (direct):
Ba 0.250 0.250 0.250
Ba 0.750 0.750 0.750
Pa 0.000 0.000 0.000
Si 0.500 0.500 0.500
O 0.275 0.275 0.725
O 0.275 0.725 0.275
O 0.275 0.725 0.725
O 0.725 0.275 0.275
O 0.725 0.275 0.725
O 0.725 0.725 0.275

ΔE_f (raw) = -2830.0 kJ/mol of formula units
magnetization = 1.00 μB/cell
uncorrected energy = -7.784 eV/atom
calculated volume = 14.1 A^3/atom
theoretical density = 7.4 g cm⁻³

# 10
The following is a GGA-PBE calculation of an optimized crystal structure of Ba3SmPa2O9, from Alexandria via LeMat-Bulk.

Cell lengths 6.357, 6.357, 7.786 Å; angles 90.00, 90.00, 120.00 degrees
Positions (direct):
Ba 0.000 0.000 0.000
Ba 0.333 0.667 0.654
Ba 0.667 0.333 0.346
Sm 0.000 0.000 0.500
Pa 0.333 0.667 0.166
Pa 0.667 0.333 0.834
O 0.000 0.500 0.000
O 0.172 0.343 0.329
O 0.172 0.828 0.329
O 0.343 0.172 0.671
O 0.500 0.000 0.000
O 0.500 0.500 0.000
O 0.657 0.828 0.329
O 0.828 0.172 0.671
O 0.828 0.657 0.671

ΔE_f (raw) = -4680.3 kJ/mol of formula units
magnetization = 1.00 μB/cell
uncorrected energy = -8.174 eV/atom
calculated volume = 18.2 A^3/atom
theoretical density = 7.1 g cm⁻³

# 11
The following is a GGA-PBE calculation of an optimized crystal structure of BaSmPa2O8, from Alexandria via LeMat-Bulk.

Cell lengths 6.783, 6.783, 6.783 Å; angles 130.88, 130.88, 72.00 degrees
Positions (direct):
Ba 0.000 0.000 0.000
Sm 0.250 0.750 0.500
Pa 0.500 0.500 0.000
Pa 0.750 0.250 0.500
O 0.130 0.149 0.541
O 0.133 0.590 0.983
O 0.410 0.393 0.543
O 0.411 0.870 0.019
O 0.607 0.150 0.017
O 0.608 0.589 0.459
O 0.850 0.867 0.457
O 0.851 0.392 0.981

ΔE_f (raw) = -3754.3 kJ/mol of formula units
magnetization = 0.84 μB/cell
uncorrected energy = -8.684 eV/atom
calculated volume = 14.5 A^3/atom
theoretical density = 8.4 g cm⁻³

# 12
The following is a GGA-PBE calculation of an optimized crystal structure of Ba2SmPaO6, from Alexandria via LeMat-Bulk.

Cell lengths 6.345, 6.345, 6.345 Å; angles 60.00, 60.00, 60.00 degrees
Positions (direct):
Ba 0.250 0.250 0.250
Ba 0.750 0.750 0.750
Sm 0.000 0.000 0.000
Pa 0.500 0.500 0.500
O 0.257 0.257 0.743
O 0.257 0.743 0.257
O 0.257 0.743 0.743
O 0.743 0.257 0.257
O 0.743 0.257 0.743
O 0.743 0.743 0.257

ΔE_f (raw) = -3149.9 kJ/mol of formula units
magnetization = 0.00 μB/cell
uncorrected energy = -8.046 eV/atom
calculated volume = 18.1 A^3/atom
theoretical density = 6.9 g cm⁻³

Which of these has the lowest theoretical density? Ba2PaSi3O12

What is the formula in the third record? Ba2PaSe2O2